Material: KTbSO
Method: DFT, GGA-PBE
State: optimized geometry

calculated total energy	-6.02	eV per atom
ΔE to the lowest computed polymorph	0.00	eV per formula unit
density	4.71	g/cm³
size of the total moment	0.00	μB/atom

Geometry as POSCAR:
```
KTbSO
1.0
-7.353 1.592 -0.446
-1.228 -6.554 -3.149
0.698 -2.887 5.735
S Tb K O
4 4 4 4
Cartesian
-1.347 -2.629 4.441
-6.536 -5.220 -2.300
-2.089 -3.282 0.566
-5.794 -4.567 1.575
-4.495 -3.930 -0.887
-4.449 -6.991 1.203
-3.434 -0.857 0.938
-3.388 -3.919 3.028
-1.184 -6.292 0.520
-1.521 -4.783 -2.316
-6.362 -3.065 4.456
-6.698 -1.556 1.620
-4.817 -1.692 -0.679
-4.217 -1.798 2.831
-3.066 -6.156 2.819
-3.666 -6.051 -0.691
```



Material: KTbSO
Method: DFT, GGA-PBE
State: optimized geometry

calculated total energy	-5.79	eV per atom
ΔE to the lowest computed polymorph	0.92	eV per formula unit
density	4.06	g/cm³
size of the total moment	0.00	μB/atom

Geometry as POSCAR:
```
KTbSO
1.0
-0.582 -7.783 0.717
5.316 -1.085 -7.471
4.527 -0.041 3.227
K Tb O S
4 4 4 4
Cartesian
7.017 -5.795 -4.527
4.597 -7.876 -5.947
2.969 -1.017 1.212
0.549 -3.099 -0.208
1.601 -7.710 -1.744
3.477 -4.143 -4.331
4.087 -4.751 -0.405
5.964 -1.183 -2.992
3.117 -3.676 0.964
6.477 -8.313 -3.807
4.443 -5.217 -5.704
1.084 -0.581 -0.933
5.606 -3.859 -2.525
1.958 -5.035 -2.211
3.525 -1.404 -4.363
4.040 -7.490 -0.373
```



Material: KTbSO
Method: DFT, GGA-PBE
State: optimized geometry

calculated total energy	-5.99	eV per atom
ΔE to the lowest computed polymorph	0.10	eV per formula unit
density	4.63	g/cm³
size of the total moment	0.00	μB/atom

Geometry as POSCAR:
```
KTbSO
1.0
5.679 0.000 -0.606
0.000 5.714 0.000
-1.657 0.000 11.058
Tb S K O
4 4 4 4
Cartesian
3.909 2.068 9.395
0.113 4.926 1.058
2.951 2.066 0.755
1.071 4.923 9.698
4.594 3.506 2.673
-0.572 0.649 7.780
2.257 3.495 7.486
1.765 0.638 2.967
1.877 3.494 4.121
-0.709 3.520 6.634
4.731 0.662 3.819
2.145 0.636 6.332
4.259 0.640 -0.454
-0.239 0.640 10.906
1.420 3.497 -0.151
4.261 3.497 -0.453
```



Material: KTmSO
Method: DFT, GGA-PBE
State: optimized geometry

calculated total energy	-5.91	eV per atom
ΔE to the lowest computed polymorph	0.39	eV per formula unit
density	5.34	g/cm³
size of the total moment	0.00	μB/atom

Geometry as POSCAR:
```
KTmSO
1.0
-6.874 -0.107 -2.093
-6.304 -3.398 -0.600
-7.001 -0.515 1.540
O S Tm K
1 1 1 1
Cartesian
-5.525 -1.101 -0.316
-14.804 -2.949 -0.846
-19.930 -3.970 -1.139
-10.188 -2.029 -0.582
```



Material: KTmSO
Method: DFT, GGA-PBE
State: optimized geometry

calculated total energy	-5.97	eV per atom
ΔE to the lowest computed polymorph	0.15	eV per formula unit
density	5.02	g/cm³
size of the total moment	0.00	μB/atom

Geometry as POSCAR:
```
KTmSO
1.0
5.617 0.000 0.000
0.000 5.618 0.000
-2.755 0.000 10.728
S Tm O K
4 4 4 4
Cartesian
-1.349 3.443 7.663
1.465 0.634 7.671
1.397 3.443 3.057
4.210 0.634 3.065
2.863 4.845 9.705
0.055 2.037 9.706
-0.001 2.036 1.023
2.807 4.846 1.022
1.405 0.631 0.002
-1.351 3.438 10.722
1.457 3.440 10.726
4.212 0.629 0.006
1.456 3.440 6.481
1.405 0.631 4.247
4.208 3.442 4.253
-1.346 0.633 6.475
```



Material: KTmSO
Method: DFT, GGA-PBE
State: optimized geometry

calculated total energy	-6.01	eV per atom
ΔE to the lowest computed polymorph	0.00	eV per formula unit
density	5.13	g/cm³
size of the total moment	0.00	μB/atom

Geometry as POSCAR:
```
KTmSO
1.0
7.507 0.000 -0.408
0.000 7.205 0.000
-1.272 0.000 6.202
Tm S O K
4 4 4 4
Cartesian
3.012 6.294 4.306
2.587 2.692 4.589
3.648 4.513 1.205
3.223 0.911 1.488
4.773 4.270 3.756
0.825 0.667 5.139
1.461 2.935 2.038
5.409 6.538 0.655
2.467 6.147 2.174
3.768 1.058 3.620
4.404 2.544 0.519
1.831 4.661 5.275
-0.027 5.431 3.144
0.608 5.377 0.043
6.262 1.775 2.650
5.626 1.828 5.751
```



Material: KTmSO
Method: DFT, GGA-PBE
State: optimized geometry

calculated total energy	-5.91	eV per atom
ΔE to the lowest computed polymorph	0.40	eV per formula unit
density	3.90	g/cm³
size of the total moment	0.00	μB/atom

Geometry as POSCAR:
```
KTmSO
1.0
-1.873 -3.347 -1.952
0.255 -4.124 6.825
-5.720 2.275 1.588
O K Tm S
2 2 2 2
Cartesian
-4.815 -3.789 6.371
-2.164 -1.550 -0.010
-0.548 -1.013 2.261
-3.309 -1.476 5.705
-4.005 -0.967 0.757
-0.956 -5.174 5.044
-0.513 -2.611 4.968
-3.474 0.174 3.035
```



Material: KTmSO
Method: DFT, GGA-PBE
State: optimized geometry

calculated total energy	-5.71	eV per atom
ΔE to the lowest computed polymorph	1.22	eV per formula unit
density	5.47	g/cm³
size of the total moment	0.00	μB/atom

Geometry as POSCAR:
```
KTmSO
1.0
3.998 0.000 0.000
0.000 3.998 0.000
0.000 0.000 9.719
Tm K O S
2 2 2 2
Cartesian
1.000 1.000 0.995
2.999 2.999 8.724
1.000 2.999 4.859
2.999 1.000 4.859
1.000 2.999 0.000
2.999 1.000 0.000
1.000 1.000 7.064
2.999 2.999 2.655
```



Material: KTmSO
Method: DFT, GGA-PBE
State: optimized geometry

calculated total energy	-5.76	eV per atom
ΔE to the lowest computed polymorph	0.99	eV per formula unit
density	4.34	g/cm³
size of the total moment	0.00	μB/atom

Geometry as POSCAR:
```
KTmSO
1.0
-5.945 -1.843 5.119
0.251 -8.564 -2.793
3.645 -1.140 3.822
Tm S O K
4 4 4 4
Cartesian
1.844 -6.289 0.677
-2.201 -6.408 0.679
-1.202 -4.716 4.050
-5.246 -4.835 4.052
-0.219 -5.523 -0.956
-3.192 -5.598 5.676
-0.162 -6.641 2.476
-3.249 -4.480 2.244
-3.391 -9.576 4.678
-2.824 -8.265 0.710
-0.022 -1.545 0.041
-0.588 -2.856 4.009
-1.414 -9.532 2.779
-4.794 -9.444 2.208
1.355 -1.668 2.483
-2.024 -1.581 1.913
```



Material: K2ZnS2O8
Method: DFT, GGA-PBE
State: optimized geometry

calculated total energy	-5.63	eV per atom
density	3.03	g/cm³

Geometry as POSCAR:
```
K2ZnS2O8
1.0
5.300 0.000 -0.004
0.000 8.645 0.000
-0.508 0.000 16.066
K O S Zn
8 32 8 4
Cartesian
1.263 5.774 0.384
3.530 2.871 15.677
3.653 5.571 12.381
3.659 7.194 8.415
1.139 3.074 3.681
1.133 1.451 7.646
3.536 1.249 11.712
1.257 7.396 4.350
3.261 0.343 3.931
1.947 8.301 1.422
4.707 7.526 14.030
2.845 0.344 14.640
0.144 6.390 6.547
0.270 4.103 14.379
4.888 7.605 10.802
3.260 3.231 7.777
2.540 6.577 14.578
4.552 6.682 2.832
2.311 5.441 5.999
1.531 8.302 12.130
0.357 3.979 11.966
2.482 3.204 10.063
2.492 5.363 2.771
2.300 3.282 13.291
1.532 5.414 8.285
3.145 2.359 5.195
4.522 4.542 1.683
-0.096 1.040 5.260
1.618 8.426 9.718
3.174 0.219 6.344
4.648 2.255 9.515
0.241 1.963 13.230
4.436 7.553 0.250
1.648 6.286 10.867
0.086 1.119 2.032
4.435 4.666 4.096
4.343 4.667 9.453
0.356 1.092 15.812
0.449 3.978 6.609
2.252 2.068 1.484
3.733 0.970 5.206
3.704 3.327 9.186
0.829 3.353 13.240
1.088 5.318 6.876
3.963 5.292 2.821
3.485 7.650 14.907
1.308 0.995 1.155
1.059 7.675 10.856
3.885 8.411 2.074
3.812 4.089 5.953
0.908 0.234 13.987
0.980 4.556 10.109
```



Material: KZrS2O8
Method: DFT, GGA-PBE
State: optimized geometry

calculated total energy	-6.58	eV per atom
density	3.43	g/cm³
size of the total moment	0.08	μB/atom

Geometry as POSCAR:
```
KZrS2O8
1.0
4.798 0.000 0.000
-2.399 4.155 0.000
0.000 0.000 7.836
O S K Zr
8 2 1 1
Cartesian
1.664 0.191 5.311
1.732 2.618 5.311
0.000 2.770 0.545
3.800 1.345 5.311
-1.401 2.809 2.525
2.399 1.385 7.291
0.735 3.963 2.525
0.666 1.537 2.525
0.000 2.770 1.993
2.399 1.385 5.842
0.000 0.000 0.000
0.000 0.000 3.918
```



Material: KSm4Sb3O12
Method: DFT, GGA-PBE
State: optimized geometry

calculated total energy	-6.83	eV per atom
density	6.48	g/cm³
size of the total moment	0.00	μB/atom

Geometry as POSCAR:
```
KSm4Sb3O12
1.0
-5.951 -3.867 -0.927
5.326 -3.625 -3.118
1.364 0.039 7.026
O K Sm Sb
12 1 4 3
Cartesian
2.101 -2.551 3.654
0.390 -0.744 2.110
3.216 -3.955 1.399
-0.847 -3.302 4.040
-1.439 -1.756 0.032
1.595 -4.519 -1.142
-2.623 -3.754 1.817
1.463 -1.671 -0.474
-3.734 -3.157 4.053
-1.139 -5.139 -0.482
0.193 -5.591 -3.007
4.662 -2.556 3.474
0.421 -4.245 1.697
-0.466 -3.205 -1.505
-1.674 -1.647 2.691
2.789 -1.706 1.437
0.731 -7.370 2.947
-2.360 -4.716 3.707
3.396 -4.240 3.470
0.481 -6.340 -1.059
```



Material: KZn4SbO7
Method: DFT, GGA-PBE
State: optimized geometry

calculated total energy	-4.96	eV per atom
density	5.40	g/cm³

Geometry as POSCAR:
```
KZn4SbO7
1.0
6.164 0.000 0.000
-3.082 5.338 0.000
0.000 0.000 9.990
Zn O K Sb
8 14 2 2
Cartesian
1.477 4.412 9.921
3.082 3.485 4.926
0.000 1.853 9.921
-1.477 4.412 9.921
0.000 0.000 7.465
0.000 0.000 2.470
1.605 0.926 4.926
4.559 0.927 4.926
1.648 0.951 6.885
4.516 0.952 6.885
1.434 4.387 1.890
0.000 0.000 9.419
4.514 2.606 9.191
0.000 1.903 1.890
1.432 2.732 4.196
3.082 3.436 6.885
-1.434 4.386 1.890
0.000 0.000 4.424
1.650 2.606 9.191
-1.432 2.732 4.196
0.000 5.212 4.196
3.082 0.126 9.191
0.000 3.558 6.768
3.082 1.780 1.773
3.082 1.779 8.041
0.000 3.559 3.046
```



Material: KScZnO3
Method: DFT, GGA-PBE
State: optimized geometry

calculated total energy	-6.13	eV per atom
density	3.83	g/cm³
size of the total moment	0.00	μB/atom

Geometry as POSCAR:
```
KScZnO3
1.0
6.079 -1.650 0.000
6.079 1.650 0.000
0.000 0.000 8.534
O Sc Zn K
6 2 2 2
Cartesian
7.439 0.000 4.587
4.719 0.000 3.947
7.439 0.000 8.213
11.760 0.000 6.400
4.719 0.000 0.320
0.398 0.000 2.133
0.000 0.000 0.000
0.000 0.000 4.267
5.256 0.000 2.133
6.902 0.000 6.400
8.642 0.000 2.133
3.516 0.000 6.400
```



Material: KTbSe2O8
Method: DFT, GGA-PBE
State: optimized geometry

calculated total energy	-5.88	eV per atom
density	4.00	g/cm³
size of the total moment	0.00	μB/atom

Geometry as POSCAR:
```
KTbSe2O8
1.0
-2.533 2.131 4.568
-2.010 -4.687 -2.411
4.311 -4.049 4.278
Se O K Tb
2 8 1 1
Cartesian
-0.980 -3.545 1.110
0.749 -3.060 5.326
-0.217 -2.153 4.367
0.072 -4.550 5.646
-0.015 -4.452 2.068
-2.466 -3.272 1.817
-1.260 -4.286 -0.357
1.029 -2.319 6.793
2.234 -3.333 4.619
-0.304 -2.055 0.790
2.155 -2.024 2.139
0.000 0.000 0.000
```



Material: KTmSe2O8
Method: DFT, GGA-PBE
State: optimized geometry

calculated total energy	-5.88	eV per atom
density	4.20	g/cm³
size of the total moment	0.00	μB/atom

Geometry as POSCAR:
```
KTmSe2O8
1.0
5.600 0.000 0.000
-2.800 4.849 0.000
0.000 0.000 7.196
K Se O Tm
1 2 8 1
Cartesian
0.000 0.000 3.598
0.000 3.233 1.976
2.800 1.616 5.220
1.456 0.840 5.828
1.344 4.009 1.368
4.144 0.840 5.828
2.800 3.168 5.828
2.800 1.616 3.585
-1.344 4.009 1.368
0.000 1.681 1.368
0.000 3.233 3.611
0.000 0.000 0.000
```



Material: KTmSeO
Method: DFT, GGA-PBE
State: optimized geometry

calculated total energy	-5.54	eV per atom
ΔE to the lowest computed polymorph	1.01	eV per formula unit
density	6.05	g/cm³
size of the total moment	0.00	μB/atom

Geometry as POSCAR:
```
KTmSeO
1.0
-0.829 3.651 -1.590
-3.958 -0.935 -0.082
-1.084 3.781 9.247
O Se K Tm
2 2 2 2
Cartesian
-3.176 0.212 -0.459
-1.611 2.505 -1.213
-3.881 3.051 1.225
-1.990 3.447 6.351
-2.153 4.395 3.411
-3.718 2.103 4.165
-4.571 5.459 7.112
-1.300 1.039 0.463
```



Material: KTmSeO
Method: DFT, GGA-PBE
State: optimized geometry

calculated total energy	-5.69	eV per atom
ΔE to the lowest computed polymorph	0.38	eV per formula unit
density	4.25	g/cm³
size of the total moment	0.00	μB/atom

Geometry as POSCAR:
```
KTmSeO
1.0
-0.946 3.506 2.607
-7.523 0.281 -3.109
-2.079 -4.030 4.665
Tm O Se K
2 2 2 2
Cartesian
-7.170 1.860 -1.271
-2.485 -0.370 3.428
-8.831 -0.885 1.818
-1.586 0.897 2.050
-5.535 -0.299 -1.607
-3.539 -2.427 1.980
-2.472 -0.377 -0.390
-6.566 -2.278 0.680
```



Number 1: V 347.3 Å³ per cell. Number 2: V 402.3 Å³ per cell. Number 3: V 353.2 Å³ per cell. Number 4: V 79.6 Å³ per cell. Number 5: V 338.5 Å³ per cell. Number 6: V 331.7 Å³ per cell. Number 7: V 218.3 Å³ per cell. Number 8: V 155.4 Å³ per cell. Number 9: V 392.4 Å³ per cell. Number 10: V 736.1 Å³ per cell. Number 11: V 156.2 Å³ per cell. Number 12: V 307.1 Å³ per cell. Number 13: V 328.7 Å³ per cell. Number 14: V 171.2 Å³ per cell. Number 15: V 201.1 Å³ per cell. Number 16: V 195.4 Å³ per cell. Number 17: V 166.3 Å³ per cell. Number 18: V 236.9 Å³ per cell.